This record from Alexandria via LeMat-Bulk describes a geometry-optimized Be3CoH structure. The functional is PBEsol.

Results
symmetry = Pm-3m, No. 221
size of the total moment = 0.00 Bohr magnetons per cell
D(E_F) = 0.435 states/eV/atom
final energy = -4.6539 eV per atom

Geometry as POSCAR:
```
Be3CoH
1.0
3.2600 0.0000 0.0000
0.0000 3.2600 0.0000
0.0000 0.0000 3.2600
Be Co H
3 1 1
Direct
0.0000 0.0000 0.5000 Be
0.0000 0.5000 0.0000 Be
0.5000 0.0000 0.0000 Be
0.5000 0.5000 0.5000 Co
0.0000 0.0000 0.0000 H
```

This record from Alexandria via LeMat-Bulk describes a geometry-optimized HfMn2 structure. The functional is PBEsol.

Results
symmetry = P6_3/mmc, No. 194
calculated formation energy = -250 meV/atom
size of the total moment = 9.17 Bohr magnetons per cell
D(E_F) = 1.099 states/eV/atom

Geometry as POSCAR:
```
HfMn2
1.0
4.8384 0.0000 0.0000
-2.4192 4.1901 0.0000
0.0000 0.0000 15.9938
Hf Mn
8 16
Direct
0.0000 0.0000 0.0931 Hf
0.0000 0.0000 0.4069 Hf
0.0000 0.0000 0.5931 Hf
0.0000 0.0000 0.9069 Hf
0.3333 0.6667 0.1564 Hf
0.3333 0.6667 0.3436 Hf
0.6667 0.3333 0.6564 Hf
0.6667 0.3333 0.8436 Hf
0.0000 0.5000 0.0000 Mn
0.0000 0.5000 0.5000 Mn
0.1628 0.3257 0.7500 Mn
0.1628 0.8372 0.7500 Mn
0.3257 0.1628 0.2500 Mn
0.3333 0.6667 0.6259 Mn
0.3333 0.6667 0.8741 Mn
0.5000 0.0000 0.0000 Mn
0.5000 0.0000 0.5000 Mn
0.5000 0.5000 0.0000 Mn
0.5000 0.5000 0.5000 Mn
0.6667 0.3333 0.1259 Mn
0.6667 0.3333 0.3741 Mn
0.6743 0.8372 0.7500 Mn
0.8372 0.1628 0.2500 Mn
0.8372 0.6743 0.2500 Mn
```

This record from Alexandria via LeMat-Bulk describes a geometry-optimized GeAu3Cl structure. The functional is PBEsol.

Results
formation energy (no corrections) = 0.56 eV per atom
symmetry = Pm-3m, No. 221
size of the total moment = 0.00 Bohr magnetons per cell
D(E_F) = 1.565 states/eV/atom

Geometry as POSCAR:
```
GeAu3Cl
1.0
4.8394 0.0000 0.0000
0.0000 4.8394 0.0000
0.0000 0.0000 4.8394
Ge Au Cl
1 3 1
Direct
0.0000 0.0000 0.0000 Ge
0.0000 0.0000 0.5000 Au
0.0000 0.5000 0.0000 Au
0.5000 0.0000 0.0000 Au
0.5000 0.5000 0.5000 Cl
```

This record from Alexandria via LeMat-Bulk describes a geometry-optimized MnOsRu2 structure. The functional is PBEsol.

Results
symmetry = Fm-3m, No. 225
offset from the most stable computed form = 0.371 eV per atom
calculated formation energy = 489 meV/atom
size of the total moment = 11.00 Bohr magnetons per cell
D(E_F) = 1.696 states/eV/atom

Geometry as POSCAR:
```
MnOsRu2
1.0
6.0085 0.0000 0.0000
0.0000 6.0085 0.0000
0.0000 0.0000 6.0085
Mn Os Ru
4 4 8
Direct
0.0000 0.0000 0.0000 Mn
0.0000 0.5000 0.5000 Mn
0.5000 0.0000 0.5000 Mn
0.5000 0.5000 0.0000 Mn
0.0000 0.0000 0.5000 Os
0.0000 0.5000 0.0000 Os
0.5000 0.0000 0.0000 Os
0.5000 0.5000 0.5000 Os
0.2500 0.2500 0.2500 Ru
0.2500 0.2500 0.7500 Ru
0.2500 0.7500 0.2500 Ru
0.2500 0.7500 0.7500 Ru
0.7500 0.2500 0.2500 Ru
0.7500 0.2500 0.7500 Ru
0.7500 0.7500 0.2500 Ru
0.7500 0.7500 0.7500 Ru
```

This record from Alexandria via LeMat-Bulk describes a geometry-optimized Er2CuPd structure. The functional is PBEsol.

Results
symmetry = Fm-3m, No. 225
calculated formation energy = -580 meV/atom
size of the total moment = 0.00 Bohr magnetons per cell
D(E_F) = 0.665 states/eV/atom

Geometry as POSCAR:
```
Er2CuPd
1.0
6.7982 0.0000 0.0000
0.0000 6.7982 0.0000
0.0000 0.0000 6.7982
Er Cu Pd
8 4 4
Direct
0.2500 0.2500 0.2500 Er
0.2500 0.2500 0.7500 Er
0.2500 0.7500 0.2500 Er
0.2500 0.7500 0.7500 Er
0.7500 0.2500 0.2500 Er
0.7500 0.2500 0.7500 Er
0.7500 0.7500 0.2500 Er
0.7500 0.7500 0.7500 Er
0.0000 0.0000 0.0000 Cu
0.0000 0.5000 0.5000 Cu
0.5000 0.0000 0.5000 Cu
0.5000 0.5000 0.0000 Cu
0.0000 0.0000 0.5000 Pd
0.0000 0.5000 0.0000 Pd
0.5000 0.0000 0.0000 Pd
0.5000 0.5000 0.5000 Pd
```

This record from Alexandria via LeMat-Bulk describes a geometry-optimized CsMg2Hg2 structure. The functional is PBEsol.

Results
symmetry = I4/mmm, No. 139
calculated formation energy = -149 meV/atom
size of the total moment = 0.00 Bohr magnetons per cell
D(E_F) = 0.609 states/eV/atom

Geometry as POSCAR:
```
CsMg2Hg2
1.0
4.8628 0.0000 0.0000
0.0000 4.8628 0.0000
0.0000 0.0000 12.8649
Cs Mg Hg
2 4 4
Direct
0.0000 0.0000 0.0000 Cs
0.5000 0.5000 0.5000 Cs
0.0000 0.5000 0.2500 Mg
0.0000 0.5000 0.7500 Mg
0.5000 0.0000 0.2500 Mg
0.5000 0.0000 0.7500 Mg
0.0000 0.0000 0.3756 Hg
0.0000 0.0000 0.6244 Hg
0.5000 0.5000 0.1244 Hg
0.5000 0.5000 0.8756 Hg
```

This record from Alexandria via LeMat-Bulk describes a geometry-optimized Ag2SbSe structure. The functional is PBEsol.

Results
formation energy (no corrections) = 0.04 eV per atom
symmetry = R-3m, No. 166
size of the total moment = 0.00 Bohr magnetons per cell
D(E_F) = 0.453 states/eV/atom

Geometry as POSCAR:
```
Ag2SbSe
1.0
3.9031 0.0000 0.0000
-1.9515 3.3801 0.0000
0.0000 0.0000 19.3095
Ag Sb Se
6 3 3
Direct
0.0000 0.0000 0.2444 Ag
0.0000 0.0000 0.7556 Ag
0.3333 0.6667 0.4223 Ag
0.3333 0.6667 0.9110 Ag
0.6667 0.3333 0.0890 Ag
0.6667 0.3333 0.5777 Ag
0.0000 0.0000 0.0000 Sb
0.3333 0.6667 0.6667 Sb
0.6667 0.3333 0.3333 Sb
0.0000 0.0000 0.5000 Se
0.3333 0.6667 0.1667 Se
0.6667 0.3333 0.8333 Se
```

This record from Alexandria via LeMat-Bulk describes a geometry-optimized ReP3 structure. The functional is PBEsol.

Results
symmetry = Pm-3n, No. 223
offset from the most stable computed form = 0.746 eV per atom
calculated formation energy = 356 meV/atom
size of the total moment = 0.00 Bohr magnetons per cell
D(E_F) = 0.682 states/eV/atom

Geometry as POSCAR:
```
ReP3
1.0
4.7613 0.0000 0.0000
0.0000 4.7613 0.0000
0.0000 0.0000 4.7613
Re P
2 6
Direct
0.0000 0.0000 0.0000 Re
0.5000 0.5000 0.5000 Re
0.0000 0.2500 0.5000 P
0.0000 0.7500 0.5000 P
0.2500 0.5000 0.0000 P
0.5000 0.0000 0.2500 P
0.5000 0.0000 0.7500 P
0.7500 0.5000 0.0000 P
```

This record from Alexandria via LeMat-Bulk describes a geometry-optimized Be2CdMo structure. The functional is PBEsol.

Results
symmetry = R3m, No. 160
calculated formation energy = 511 meV/atom
size of the total moment = 0.00 Bohr magnetons per cell
D(E_F) = 0.600 states/eV/atom

Geometry as POSCAR:
```
Be2CdMo
1.0
2.7165 0.0000 0.0000
-1.3582 2.3525 0.0000
0.0000 0.0000 25.6038
Be Cd Mo
6 3 3
Direct
0.0000 0.0000 0.0000 Be
0.0000 0.0000 0.2666 Be
0.3333 0.6667 0.6667 Be
0.3333 0.6667 0.9333 Be
0.6667 0.3333 0.3333 Be
0.6667 0.3333 0.5999 Be
0.0000 0.0000 0.7540 Cd
0.3333 0.6667 0.4207 Cd
0.6667 0.3333 0.0873 Cd
0.0000 0.0000 0.5207 Mo
0.3333 0.6667 0.1874 Mo
0.6667 0.3333 0.8540 Mo
```

This record from Alexandria via LeMat-Bulk describes a geometry-optimized TaAl2Zn structure. The functional is PBEsol.

Results
symmetry = I-4m2, No. 119
calculated formation energy = -187 meV/atom
size of the total moment = 0.00 Bohr magnetons per cell
D(E_F) = 0.354 states/eV/atom

Geometry as POSCAR:
```
TaAl2Zn
1.0
3.7567 0.0000 0.0000
0.0000 3.7567 0.0000
0.0000 0.0000 8.6989
Ta Al Zn
2 4 2
Direct
0.0000 0.0000 0.0000 Ta
0.5000 0.5000 0.5000 Ta
0.0000 0.0000 0.5000 Al
0.0000 0.5000 0.2500 Al
0.5000 0.0000 0.7500 Al
0.5000 0.5000 0.0000 Al
0.0000 0.5000 0.7500 Zn
0.5000 0.0000 0.2500 Zn
```

This record from Alexandria via LeMat-Bulk describes a geometry-optimized La2TaCo structure. The functional is PBEsol.

Results
symmetry = F-43m, No. 216
offset from the most stable computed form = 0.331 eV per atom
calculated formation energy = 539 meV/atom
size of the total moment = 0.00 Bohr magnetons per cell
D(E_F) = 1.241 states/eV/atom

Geometry as POSCAR:
```
La2TaCo
1.0
6.8818 0.0000 0.0000
0.0000 6.8818 0.0000
0.0000 0.0000 6.8818
La Ta Co
8 4 4
Direct
0.0000 0.0000 0.0000 La
0.0000 0.5000 0.5000 La
0.2500 0.2500 0.2500 La
0.2500 0.7500 0.7500 La
0.5000 0.0000 0.5000 La
0.5000 0.5000 0.0000 La
0.7500 0.2500 0.7500 La
0.7500 0.7500 0.2500 La
0.2500 0.2500 0.7500 Ta
0.2500 0.7500 0.2500 Ta
0.7500 0.2500 0.2500 Ta
0.7500 0.7500 0.7500 Ta
0.0000 0.0000 0.5000 Co
0.0000 0.5000 0.0000 Co
0.5000 0.0000 0.0000 Co
0.5000 0.5000 0.5000 Co
```

This record from Alexandria via LeMat-Bulk describes a geometry-optimized ScRu2 structure. The functional is PBEsol.

Results
symmetry = P6_3/mmc, No. 194
calculated formation energy = -327 meV/atom
size of the total moment = 0.00 Bohr magnetons per cell
D(E_F) = 1.066 states/eV/atom

Geometry as POSCAR:
```
ScRu2
1.0
5.0921 0.0000 0.0000
-2.5461 4.4099 0.0000
0.0000 0.0000 16.8999
Sc Ru
8 16
Direct
0.0000 0.0000 0.0909 Sc
0.0000 0.0000 0.4091 Sc
0.0000 0.0000 0.5909 Sc
0.0000 0.0000 0.9091 Sc
0.3333 0.6667 0.1566 Sc
0.3333 0.6667 0.3434 Sc
0.6667 0.3333 0.6566 Sc
0.6667 0.3333 0.8434 Sc
0.0000 0.5000 0.0000 Ru
0.0000 0.5000 0.5000 Ru
0.1620 0.3239 0.7500 Ru
0.1620 0.8380 0.7500 Ru
0.3239 0.1620 0.2500 Ru
0.3333 0.6667 0.6262 Ru
0.3333 0.6667 0.8738 Ru
0.5000 0.0000 0.0000 Ru
0.5000 0.0000 0.5000 Ru
0.5000 0.5000 0.0000 Ru
0.5000 0.5000 0.5000 Ru
0.6667 0.3333 0.1262 Ru
0.6667 0.3333 0.3738 Ru
0.6761 0.8380 0.7500 Ru
0.8380 0.1620 0.2500 Ru
0.8380 0.6761 0.2500 Ru
```

This record from Alexandria via LeMat-Bulk describes a geometry-optimized TcSb2AuI structure. The functional is PBEsol.

Results
formation energy (no corrections) = 1.87 eV per atom
symmetry = P4/mmm, No. 123
size of the total moment = 3.87 Bohr magnetons per cell
D(E_F) = 0.819 states/eV/atom

Geometry as POSCAR:
```
TcSb2AuI
1.0
5.7019 0.0000 0.0000
0.0000 5.7019 0.0000
0.0000 0.0000 5.0231
Tc Sb Au I
1 2 1 1
Direct
0.0000 0.0000 0.0000 Tc
0.0000 0.5000 0.5000 Sb
0.5000 0.0000 0.5000 Sb
0.5000 0.5000 0.0000 Au
0.5000 0.5000 0.5000 I
```

This record from Alexandria via LeMat-Bulk describes a geometry-optimized Nd9Ga4 structure. The functional is PBEsol.

Results
symmetry = I4/m, No. 87
calculated formation energy = -385 meV/atom
size of the total moment = 0.00 Bohr magnetons per cell
D(E_F) = 0.966 states/eV/atom

Geometry as POSCAR:
```
Nd9Ga4
1.0
-5.9360 5.9360 2.5377
5.9360 -5.9360 2.5377
5.9360 5.9360 -2.5377
Nd Ga
9 4
Direct
0.0000 0.0000 0.0000 Nd
0.0951 0.3734 0.4685 Nd
0.3131 0.6082 0.9213 Nd
0.3734 0.9049 0.2783 Nd
0.3918 0.3131 0.7049 Nd
0.6082 0.6869 0.2951 Nd
0.6266 0.0951 0.7217 Nd
0.6869 0.3918 0.0787 Nd
0.9049 0.6266 0.5315 Nd
0.1134 0.7693 0.8826 Ga
0.2307 0.1134 0.3441 Ga
0.7693 0.8866 0.6559 Ga
0.8866 0.2307 0.1174 Ga
```

This record from Alexandria via LeMat-Bulk describes a geometry-optimized ScVO3 structure. The functional is PBEsol.

Results
formation energy (no corrections) = -2.90 eV per atom
symmetry = Pnma, No. 62
size of the total moment = 8.00 Bohr magnetons per cell
D(E_F) = 0.548 states/eV/atom

Geometry as POSCAR:
```
ScVO3
1.0
5.3970 0.0000 0.0000
0.0000 7.4035 0.0000
0.0000 0.0000 4.9919
Sc V O
4 4 12
Direct
0.0741 0.2500 0.0256 Sc
0.4259 0.7500 0.5256 Sc
0.5741 0.2500 0.4744 Sc
0.9259 0.7500 0.9744 Sc
0.0000 0.0000 0.5000 V
0.0000 0.5000 0.5000 V
0.5000 0.0000 0.0000 V
0.5000 0.5000 0.0000 V
0.0618 0.7500 0.3595 O
0.1908 0.5696 0.8171 O
0.1908 0.9304 0.8171 O
0.3092 0.0696 0.3171 O
0.3092 0.4304 0.3171 O
0.4382 0.2500 0.8595 O
0.5618 0.7500 0.1405 O
0.6908 0.5696 0.6829 O
0.6908 0.9304 0.6829 O
0.8092 0.0696 0.1829 O
0.8092 0.4304 0.1829 O
0.9382 0.2500 0.6405 O
```

This record from Alexandria via LeMat-Bulk describes a geometry-optimized InCu2Pt2 structure. The functional is PBEsol.

Results
symmetry = I4/mmm, No. 139
calculated formation energy = 86 meV/atom
size of the total moment = 0.00 Bohr magnetons per cell
D(E_F) = 0.472 states/eV/atom

Geometry as POSCAR:
```
InCu2Pt2
1.0
3.7802 0.0000 0.0000
0.0000 3.7802 0.0000
0.0000 0.0000 11.2285
In Cu Pt
2 4 4
Direct
0.0000 0.0000 0.0000 In
0.5000 0.5000 0.5000 In
0.0000 0.0000 0.3986 Cu
0.0000 0.0000 0.6014 Cu
0.5000 0.5000 0.1014 Cu
0.5000 0.5000 0.8986 Cu
0.0000 0.5000 0.2500 Pt
0.0000 0.5000 0.7500 Pt
0.5000 0.0000 0.2500 Pt
0.5000 0.0000 0.7500 Pt
```

This record from Alexandria via LeMat-Bulk describes a geometry-optimized Ag4MoAs structure. The functional is PBEsol.

Results
symmetry = F-43m, No. 216
calculated formation energy = 660 meV/atom
size of the total moment = 3.55 Bohr magnetons per cell
D(E_F) = 0.583 states/eV/atom

Geometry as POSCAR:
```
Ag4MoAs
1.0
0.0000 3.7769 3.7769
3.7769 0.0000 3.7769
3.7769 3.7769 0.0000
Ag Mo As
4 1 1
Direct
0.1247 0.1247 0.1247 Ag
0.1247 0.1247 0.6258 Ag
0.1247 0.6258 0.1247 Ag
0.6258 0.1247 0.1247 Ag
0.7500 0.7500 0.7500 Mo
0.5000 0.5000 0.5000 As
```

This record from Alexandria via LeMat-Bulk describes a geometry-optimized Li2MgZrCu structure. The functional is PBEsol.

Results
symmetry = P4/mmm, No. 123
calculated formation energy = 1125 meV/atom
size of the total moment = 2.30 Bohr magnetons per cell
D(E_F) = 0.782 states/eV/atom

Geometry as POSCAR:
```
Li2MgZrCu
1.0
5.0814 0.0000 0.0000
0.0000 5.0814 0.0000
0.0000 0.0000 4.7531
Li Mg Zr Cu
2 1 1 1
Direct
0.0000 0.5000 0.0000 Li
0.5000 0.0000 0.0000 Li
0.0000 0.0000 0.5000 Mg
0.5000 0.5000 0.0000 Zr
0.5000 0.5000 0.5000 Cu
```

This record from Alexandria via LeMat-Bulk describes a geometry-optimized ZrTe2SI structure. The functional is PBEsol.

Results
formation energy (no corrections) = -0.30 eV per atom
symmetry = P4/mmm, No. 123
offset from the most stable computed form = 0.000 eV per atom
size of the total moment = 0.00 Bohr magnetons per cell
D(E_F) = 0.842 states/eV/atom

Geometry as POSCAR:
```
ZrTe2SI
1.0
5.6077 0.0000 0.0000
0.0000 5.6077 0.0000
0.0000 0.0000 4.8108
Zr Te S I
1 2 1 1
Direct
0.0000 0.0000 0.0000 Zr
0.0000 0.5000 0.0000 Te
0.5000 0.0000 0.0000 Te
0.0000 0.0000 0.5000 S
0.5000 0.5000 0.5000 I
```

This record from Alexandria via LeMat-Bulk describes a geometry-optimized CdAsIrSe2 structure. The functional is PBEsol.

Results
formation energy (no corrections) = 0.44 eV per atom
symmetry = P4/mmm, No. 123
offset from the most stable computed form = 0.000 eV per atom
size of the total moment = 0.00 Bohr magnetons per cell
D(E_F) = 0.983 states/eV/atom

Geometry as POSCAR:
```
CdAsIrSe2
1.0
5.1147 0.0000 0.0000
0.0000 5.1147 0.0000
0.0000 0.0000 4.4999
Cd As Ir Se
1 1 1 2
Direct
0.0000 0.0000 0.0000 Cd
0.5000 0.5000 0.0000 As
0.5000 0.5000 0.5000 Ir
0.0000 0.5000 0.5000 Se
0.5000 0.0000 0.5000 Se
```